(1)
The following is a PBE-GGA calculation of a geometry-optimized CrFe2AuN structure, from the Alexandria database.

Lattice parameters (Å, degrees): 4.1649 4.8579 4.1649 90.00 90.00 90.00
Last column: nearest neighbours and their distance in Å.
Positions (direct):
Cr1 0.0000 0.0000 0.0000  4 Fe 2.08
Au1 0.0000 0.5000 0.0000  2 Cr 2.43
Fe1 0.0000 0.0000 0.5000  2 Cr 2.08
Fe2 0.5000 0.0000 0.0000  2 Cr 2.08
N1 0.5000 0.5000 0.5000  4 Au 2.95, 8 Fe 3.20

Results
Its size of the total moment is 4.1 μB per cell. The value obtained for the total energy is -5.457 eV per atom. The space-group type is No. 123. As for the formation energy without anion corrections: 2.173 eV per atom.

***

(2)
The following is a PBE-GGA calculation of a geometry-optimized Tb3Nd4 structure, from the Alexandria database.

Lattice parameters (Å, degrees): 3.6309 5.1262 13.0941 101.29 97.97 90.00
Last column: nearest neighbours and their distance in Å.
Positions (direct):
Tb1 0.8576 0.3576 0.7151  3 Tb 3.62-3.63, 9 Nd 3.62-3.66
Tb2 0.0000 0.5000 0.0000  4 Tb 3.62-3.63, 8 Nd 3.62
Tb3 0.1424 0.6424 0.2849  3 Tb 3.62-3.63, 9 Nd 3.62-3.66
Nd1 0.7135 0.2135 0.4270  7 Nd 3.62-3.65, 5 Tb 3.62-3.66
Nd2 0.2865 0.7865 0.5730  7 Nd 3.62-3.65, 5 Tb 3.62-3.66
Nd3 0.4290 0.9290 0.8580  4 Nd 3.61-3.63, 8 Tb 3.62-3.63
Nd4 0.5710 0.0710 0.1420  4 Nd 3.61-3.63, 8 Tb 3.62-3.63

Results
Its size of the total moment is 0.0 μB per cell. The value obtained for the total energy is -4.694 eV per atom. The space-group type is No. 71. The formation energy comes out at 0.015 eV/atom.

***

(3)
The following is a PBE-GGA calculation of a geometry-optimized BaZrV3 structure, from the Alexandria database.

Lattice parameters (Å, degrees): 5.1524 5.1524 5.1524 90.00 90.00 90.00
Last column: nearest neighbours and their distance in Å.
Positions (direct):
Ba1 0.5000 0.5000 0.5000  12 V 3.64
Zr1 0.0000 0.0000 0.0000  6 V 2.58
V1 0.0000 0.5000 0.0000  2 Zr 2.58
V2 0.0000 0.0000 0.5000  2 Zr 2.58
V3 0.5000 0.0000 0.0000  2 Zr 2.58

Results
Its size of the total moment is 8.8 μB per cell. The value obtained for the total energy is -6.235 eV per atom. The space-group type is No. 221. The formation energy comes out at 1.331 eV/atom.

***

(4)
The following is a PBE-GGA calculation of a geometry-optimized TbCoNi4 structure, from the Alexandria database.

Lattice parameters (Å, degrees): 3.7627 6.3712 6.9614 90.00 90.00 90.00
Last column: nearest neighbours and their distance in Å.
Positions (direct):
Tb1 0.0000 0.6361 0.7500  1 Co 2.63, 8 Ni 2.85-2.90
Tb2 0.0000 0.3639 0.2500  1 Co 2.63, 8 Ni 2.85-2.90
Co1 0.0000 0.2241 0.7500  8 Ni 2.25-2.47
Co2 0.0000 0.7759 0.2500  8 Ni 2.25-2.47
Ni1 0.0000 0.0000 0.5000  2 Co 2.25
Ni2 0.0000 0.0000 0.0000  2 Co 2.25
Ni3 0.5000 0.9726 0.7500  8 Ni 2.47-2.74, 2 Co 2.47
Ni4 0.5000 0.0274 0.2500  8 Ni 2.47-2.74, 2 Co 2.47
Ni5 0.5000 0.7026 0.0564  2 Co 2.36, 1 Ni 2.47
Ni6 0.5000 0.2974 0.9436  2 Co 2.36, 1 Ni 2.47
Ni7 0.5000 0.7026 0.4436  2 Co 2.36, 1 Ni 2.47
Ni8 0.5000 0.2974 0.5564  2 Co 2.36, 1 Ni 2.47

Results
Its size of the total moment is 5.7 μB per cell. The value obtained for the total energy is -5.897 eV per atom. The space-group type is No. 51. The formation energy comes out at -0.087 eV/atom.

***

(5)
The following is a PBE-GGA calculation of a geometry-optimized Sr2NbZn2 structure, from the Alexandria database.

Lattice parameters (Å, degrees): 4.6816 4.6816 7.0377 70.57 70.57 90.00
Last column: nearest neighbours and their distance in Å.
Positions (direct):
Sr1 0.7500 0.2500 0.5000  4 Zn 3.06, 4 Sr 3.31
Sr2 0.2500 0.7500 0.5000  4 Zn 3.06, 4 Sr 3.31
Nb1 0.0000 0.0000 0.0000  8 Zn 3.50, 8 Sr 3.89
Zn1 0.4089 0.4089 0.1822  1 Zn 2.26
Zn2 0.5911 0.5911 0.8178  1 Zn 2.26

Results
Its size of the total moment is 0.0 μB per cell. The value obtained for the total energy is -2.365 eV per atom. The space-group type is No. 139. The formation energy comes out at 0.831 eV/atom.

***

(6)
The following is a PBE-GGA calculation of a geometry-optimized DyYPbSe structure, from the Alexandria database.

Lattice parameters (Å, degrees): 4.2883 4.2882 6.0660 90.00 90.00 90.00
Last column: nearest neighbours and their distance in Å.
Positions (direct):
Dy1 0.0000 0.8918 0.5921  4 Se 3.03, 2 Pb 3.03
Y1 0.5000 0.3913 0.0928  4 Pb 3.03, 2 Se 3.03
Pb1 0.0000 0.8912 0.0922  4 Y 3.03, 2 Dy 3.03
Se1 0.5000 0.3917 0.5927  4 Dy 3.03, 2 Y 3.03

Results
Its size of the total moment is 0.0 μB per cell. The value obtained for the total energy is -5.693 eV per atom. The space-group type is No. 123. As for the formation energy without anion corrections: -1.128 eV per atom.